Entry 1:
# YHoAlSi2

A geometry-optimized YHoAlSi2 structure (GGA-PBE, OQMD).

Cell: 5.591 5.591 5.591 Å, 137.30 118.52 77.74°
Positions (direct):
Y: 0.000 0.000 0.000
Ho: 0.579 0.579 0.000
Al: 0.290 0.790 0.500
Si: 0.000 0.289 0.711
Si: 0.578 0.289 0.289

Results
Calculated volume, Å³/f.u.: 101
Crystal system: orthorhombic


Entry 2:
# Dy2TmMg3Al2Hg

A geometry-optimized Dy2TmMg3Al2Hg structure (GGA-PBE, OQMD).

Cell: 4.513 7.363 7.363 Å, 119.68 90.00 90.00°
Positions (direct):
Dy: 0.000 0.213 0.787
Dy: 0.000 0.787 0.213
Tm: 0.000 0.361 0.361
Mg: 0.500 0.031 0.031
Mg: 0.500 0.541 0.786
Mg: 0.500 0.786 0.541
Al: 0.500 0.122 0.453
Al: 0.500 0.453 0.122
Hg: 0.000 0.783 0.783

Results
Calculated volume, Å³/f.u.: 213
Crystal system: orthorhombic


Entry 3:
# Ta2AlPd

A geometry-optimized Ta2AlPd structure (GGA-PBE, OQMD).

Cell: 4.563 4.563 4.563 Å, 60.00 60.00 60.00°
Positions (direct):
Ta: 0.000 0.000 0.000
Ta: 0.250 0.250 0.250
Al: 0.500 0.500 0.500
Pd: 0.750 0.750 0.750

Results
Calculated volume, Å³/f.u.: 67
Crystal system: cubic


Number 1: total DFT energy (no corrections) -5.854 eV/atom. Number 2: total DFT energy (no corrections) -3.259 eV/atom. Number 3: total DFT energy (no corrections) -8.161 eV/atom.